Here is crystalline Ba2CoPdI at its relaxed geometry from Alexandria via LeMat-Bulk. Energies are from PBE.

a = 6.490 Å, b = 6.490 Å, c = 4.557 Å
α = 90.00°, β = 90.00°, γ = 90.00°
Space group P4/mmm (No. 123)
Symmetry-distinct sites (fractional):
Ba1 0.000 0.500 0.000
Co1 0.000 0.000 0.500
Pd1 0.500 0.500 0.500
I1 0.000 0.000 0.000

Values from the calculation:
- polymorph energy (0 for the lowest one) (eV per formula unit) = 2.47
- E_form (uncorrected) (kcal/mol of atoms) = 3.95

Here is crystalline Sr6MgPd at its relaxed geometry from Alexandria via LeMat-Bulk. Energies are from PBE.

a = 4.392 Å, b = 12.010 Å, c = 13.538 Å
α = 90.00°, β = 90.00°, γ = 90.00°
Space group Amm2 (No. 38)
Symmetry-distinct sites (fractional):
Sr1 0.000 0.000 0.000
Sr2 0.000 0.166 0.726
Sr3 0.500 0.000 0.258
Sr4 0.500 0.222 0.483
Mg1 0.000 0.000 0.497
Pd1 0.500 0.000 0.613

Values from the calculation:
- formation energy from the elements (meV per atom) = -154

Let's list density in order: 4.90; 3.05 Mg/m³.
Let's list DFT total energy in order: -3.368; -2.263 eV per atom.